Entry 1:
Material: SrMnSi2Ir
Method: DFT, PBE
State: optimized geometry

Values from the calculation:
As for the magnetic moment: 0.00 μB/f.u. The density of states at the Fermi level is 1.4889 states/eV/atom. Its offset from the most stable computed form is 5.21 eV per formula unit. The raw formation energy is 430 meV per atom. As for the space group: No. 123.

abc: 4.636 4.870 4.636
angles: 90.00 90.00 90.00
Sites, in units of the cell vectors:
Sr  0.500  0.500  0.500
Si  0.000  0.000  0.500
Si  0.500  0.000  0.000
Ir  0.000  0.000  0.000
Mn  0.000  0.500  0.000



Entry 2:
Material: Rb2ZnCd3Pb4
Method: DFT, PBE
State: optimized geometry

Values from the calculation:
The calculation puts the energy relative to the elements at -0.061 eV/atom. As for the magnetic moment: 0.00 μB/f.u. The density of states at the Fermi level is 0.4881 states/eV/atom. As for the space group: No. 115.

abc: 5.062 5.062 12.787
angles: 90.00 90.00 90.00
Sites, in units of the cell vectors:
Rb  0.500  0.000  0.259
Rb  0.000  0.500  0.741
Zn  0.500  0.500  0.500
Cd  0.000  0.000  0.500
Cd  0.500  0.000  0.857
Cd  0.000  0.500  0.143
Pb  0.500  0.500  0.000
Pb  0.000  0.000  0.000
Pb  0.500  0.000  0.624
Pb  0.000  0.500  0.376



Entry 3:
Material: RbTeSe
Method: DFT, PBE
State: optimized geometry

Values from the calculation:
As for the magnetic moment: 0.00 μB/f.u. The density of states at the Fermi level is 0.4001 states/eV/atom. Its offset from the most stable computed form is 0.14 eV per formula unit. The raw formation energy is -610 meV per atom. As for the space group: No. 44.

abc: 4.985 6.658 7.746
angles: 90.00 90.00 90.00
Sites, in units of the cell vectors:
Rb  0.000  0.500  0.998
Rb  0.500  0.000  0.498
Te  0.000  0.500  0.507
Te  0.500  0.000  0.007
Se  0.000  0.000  0.142
Se  0.500  0.500  0.642



Entry 4:
Material: BaTcRh
Method: DFT, PBE
State: optimized geometry

Values from the calculation:
The calculation puts the energy relative to the elements at 0.058 eV/atom. As for the magnetic moment: 0.00 μB/f.u. The density of states at the Fermi level is 0.5556 states/eV/atom. Its offset from the most stable computed form is 0.00 eV per formula unit. As for the space group: No. 12.

abc: 4.269 4.269 11.066
angles: 101.11 78.82 119.98
Sites, in units of the cell vectors:
Rh  0.121  0.970  0.658
Rh  0.037  0.052  0.907
Ba  0.847  0.244  0.480
Ba  0.311  0.778  0.085
Tc  0.744  0.346  0.787
Tc  0.414  0.676  0.778



Question: What is the magnetic moment in the fourth record?
Answer: 0.00 μB/f.u.